Density functional theory data (GGA-PBEsol) for a geometry-optimized Mn3FeP4 structure.

Structure (POSCAR):
```
Mn3FeP4
1.0
5.2110 0.0000 0.0000
0.0000 2.9215 0.0000
-0.0039 0.0000 5.7983
Mn Fe P
3 1 4
Cartesian
0.0000 0.0000 0.0000
0.0496 1.4607 2.2911
2.6581 1.4607 2.8864
2.6063 0.0000 5.2034
1.0133 1.4607 4.4052
1.6441 0.0000 1.5066
3.6123 1.4607 0.7759
4.2499 0.0000 3.6948
```

Summary:
DFT formation energy: -696 meV per atom

Density functional theory data (GGA-PBEsol) for a geometry-optimized MnFeP structure.

Structure (POSCAR):
```
MnFeP
1.0
3.7498 0.0000 0.0000
-1.8749 3.2475 0.0000
0.0000 0.0000 2.6086
Mn Fe P
1 1 1
Cartesian
0.0000 0.0000 0.0000
1.8749 1.0825 1.3043
0.0000 2.1650 1.3043
```

Summary:
DFT formation energy: -336 meV per atom

Density functional theory data (GGA-PBEsol) for a geometry-optimized MnFe2P structure.

Structure (POSCAR):
```
MnFe2P
1.0
2.6589 0.0000 0.0000
0.0000 2.6589 0.0000
0.0000 0.0000 5.8049
Mn Fe P
1 2 1
Cartesian
0.0000 0.0000 0.0000
0.0000 0.0000 2.5834
1.3295 1.3295 4.2429
1.3295 1.3295 1.3451
```

Summary:
DFT formation energy: -193 meV per atom

Density functional theory data (GGA-PBEsol) for a geometry-optimized Mn2FeP structure.

Structure (POSCAR):
```
Mn2FeP
1.0
0.0000 2.7399 2.7399
2.7399 0.0000 2.7399
2.7399 2.7399 0.0000
Mn Fe P
2 1 1
Cartesian
0.0000 0.0000 0.0000
1.3699 1.3699 1.3699
4.1098 4.1098 4.1098
2.7399 2.7399 2.7399
```

Summary:
DFT formation energy: -314 meV per atom

> Look up the DFT formation energy of the fourth one.

-314 meV per atom

> Which formula does entry 1 have?

Mn3FeP4